# 1
{"formula": "SmThAs2", "functional": "PBE", "state": "relaxed", "polymorph_energy_mev_per_atom": 0, "crystal_system": "trigonal", "cell": [[4.241, 0.014, 0.013], [2.110, 3.679, 0.013], [2.091, 1.216, 6.902]], "species": ["Sm", "As", "As", "Th"], "fractional_positions": [[0.500, 0.500, 0.500], [0.750, 0.750, 0.749], [0.250, 0.250, 0.251], [0.000, 0.000, 0.000]]}

# 2
{"formula": "Sm5ThAs6", "functional": "PBE", "state": "relaxed", "crystal_system": "monoclinic", "dft_energy_ev_per_atom": -6.44, "cell": [[7.185, -0.109, -1.355], [-3.880, 6.048, -1.355], [0.140, 0.252, 7.307]], "species": ["As", "Th", "As", "As", "Sm", "As", "As", "As", "Sm", "Sm", "Sm", "Sm"], "fractional_positions": [[0.249, 0.249, 0.751], [0.000, 0.000, 0.000], [0.083, 0.416, 0.250], [0.416, 0.083, 0.250], [0.334, 0.666, 0.000], [0.584, 0.917, 0.750], [0.751, 0.751, 0.249], [0.917, 0.584, 0.750], [0.666, 0.334, 0.000], [0.167, 0.833, 0.500], [0.500, 0.500, 0.500], [0.833, 0.167, 0.500]]}

# 3
{"formula": "SmTh4As6", "functional": "PBE", "state": "relaxed", "crystal_system": "trigonal", "dft_energy_ev_per_atom": -6.85, "cell": [[-3.856, 1.916, 7.121], [-7.380, -0.529, -3.811], [-0.375, -8.087, 1.930]], "species": ["As", "As", "Th", "Th", "As", "As", "As", "Th", "Sm", "As", "As", "As", "Th", "Th", "Th", "As", "Sm", "As", "Th", "Th", "As", "As"], "fractional_positions": [[0.826, 0.584, 0.564], [0.064, 0.916, 0.326], [0.750, 0.750, 0.250], [0.250, 0.635, 0.135], [0.436, 0.826, 0.416], [0.584, 0.436, 0.174], [0.174, 0.416, 0.436], [0.750, 0.365, 0.865], [0.000, 0.000, 0.000], [0.416, 0.564, 0.826], [0.936, 0.084, 0.674], [0.084, 0.326, 0.064], [0.135, 0.750, 0.635], [0.865, 0.250, 0.365], [0.365, 0.135, 0.250], [0.564, 0.174, 0.584], [0.500, 0.500, 0.500], [0.674, 0.064, 0.084], [0.250, 0.250, 0.750], [0.635, 0.865, 0.750], [0.916, 0.674, 0.936], [0.326, 0.936, 0.916]]}